The following is a DFT calculation (PBE-GGA) of a relaxed structure of Y3SbSe.

- distance to the lowest polymorph of the same formula (meV/atom) = 139
- calculated volume (Å³ per cell) = 288.7
- total moment (μB/cell) = 0.0
- space-group type = Pm (6)
- uncorrected energy (eV per cell) = -64.453
- formation energy (no corrections) (meV/atom) = -1046
- calculated density (Mg/m³) = 5.38

Unit cell a=4.211 b=8.126 c=8.746 alpha=74.69 beta=89.99 gamma=89.99
Positions (direct):
Sb 0.363 0.694 0.746
Sb 0.863 0.193 0.248
Se 0.363 0.694 0.246
Se 0.363 0.194 0.746
Y 0.863 0.980 0.720
Y 0.363 0.037 0.071
Y 0.863 0.770 0.432
Y 0.863 0.409 0.773
Y 0.363 0.352 0.423
Y 0.863 0.617 0.060

---

The following is a DFT calculation (PBE-GGA) of a relaxed structure of Pm2PbC2N6.

- calculated volume (Å³ per cell) = 150.5
- total moment (μB/cell) = 0.0
- space-group type = P-1 (2)
- uncorrected energy (eV per cell) = -85.045
- formation energy (no corrections) (meV/atom) = -312
- calculated density (Mg/m³) = 6.68

Unit cell a=6.602 b=5.192 c=5.347 alpha=100.11 beta=73.53 gamma=65.39
Positions (direct):
N 0.200 0.911 0.566
N 0.165 0.532 0.728
N 0.398 0.743 0.862
N 0.602 0.257 0.138
N 0.835 0.468 0.272
N 0.800 0.089 0.434
C 0.742 0.272 0.275
C 0.258 0.728 0.725
Pm 0.815 0.428 0.792
Pm 0.185 0.572 0.208
Pb 0.500 0.000 0.500

---

The following is a DFT calculation (PBE-GGA) of a relaxed structure of ZnCl2.

- calculated volume (Å³ per cell) = 63.3
- total moment (μB/cell) = 0.0
- space-group type = P4/mmm (123)
- uncorrected energy (eV per cell) = -6.312
- formation energy (no corrections) (meV/atom) = -448
- calculated density (Mg/m³) = 3.58

Unit cell a=4.411 b=4.411 c=3.251 alpha=90.00 beta=90.00 gamma=90.00
Positions (direct):
Zn 0.000 0.000 0.000
Cl 0.000 0.500 0.500
Cl 0.500 0.000 0.500

---

The following is a DFT calculation (PBE-GGA) of a relaxed structure of Mn2SnRu.

- calculated volume (Å³ per cell) = 136.8
- total moment (μB/cell) = 13.3
- space-group type = I-42d (122)
- uncorrected energy (eV per cell) = -59.164
- energy of formation (eV per atom) = 0.509
- calculated density (Mg/m³) = 8.01

Unit cell a=7.150 b=7.150 c=5.720 alpha=51.32 beta=51.32 gamma=90.00
Positions (direct):
Mn 0.592 0.125 0.250
Mn 0.875 0.842 0.750
Mn 0.158 0.625 0.250
Mn 0.375 0.408 0.750
Sn 0.000 0.000 0.000
Sn 0.750 0.250 0.500
Ru 0.500 0.500 0.000
Ru 0.250 0.750 0.500